# 1
# Sm3Zn9Au2 PBE-GGA relaxed
data_Sm3Zn9Au2
_chemical_formula_sum 'Sm3 Zn9 Au2'
_cell_length_a 8.340
_cell_length_b 8.340
_cell_length_c 8.340
_cell_angle_alpha 149.37
_cell_angle_beta 114.74
_cell_angle_gamma 73.80
_symmetry_space_group_name_H-M 'P 1'
_symmetry_Int_Tables_number 1
_symmetry_space_group_name_Hall 'P 1'
loop_
_atom_site_label
_atom_site_type_symbol
_atom_site_fract_x
_atom_site_fract_y
_atom_site_fract_z
_atom_site_occupancy
Sm1 Sm 0.000 0.000 0.000 1
Sm2 Sm 0.302 0.302 0.000 1
Sm3 Sm 0.698 0.698 0.000 1
Zn1 Zn 0.029 0.668 0.361 1
Zn2 Zn 0.144 0.864 0.280 1
Zn3 Zn 0.306 0.668 0.639 1
Zn4 Zn 0.416 0.136 0.280 1
Zn5 Zn 0.500 0.000 0.500 1
Zn6 Zn 0.584 0.864 0.720 1
Zn7 Zn 0.694 0.332 0.361 1
Zn8 Zn 0.856 0.136 0.720 1
Zn9 Zn 0.971 0.332 0.639 1
Au1 Au 0.300 0.500 0.800 1
Au2 Au 0.700 0.500 0.200 1
# - energy of formation (meV/atom) = -414
# - electronic total energy (eV for the cell shown) = -38.0

# 2
# Cs2LiAs2Pt PBE-GGA relaxed
data_Cs2LiAs2Pt
_chemical_formula_sum 'Cs4 Li2 As4 Pt2'
_cell_length_a 10.060
_cell_length_b 10.060
_cell_length_c 10.060
_cell_angle_alpha 143.73
_cell_angle_beta 54.20
_cell_angle_gamma 141.14
_symmetry_space_group_name_H-M 'P 1'
_symmetry_Int_Tables_number 1
_symmetry_space_group_name_Hall 'P 1'
loop_
_atom_site_label
_atom_site_type_symbol
_atom_site_fract_x
_atom_site_fract_y
_atom_site_fract_z
_atom_site_occupancy
Cs1 Cs 0.162 0.223 0.385 1
Cs2 Cs 0.338 0.723 0.061 1
Cs3 Cs 0.662 0.277 0.939 1
Cs4 Cs 0.838 0.777 0.615 1
Li1 Li 0.250 0.250 0.000 1
Li2 Li 0.750 0.750 0.000 1
As1 As 0.070 0.719 0.789 1
As2 As 0.430 0.219 0.648 1
As3 As 0.570 0.781 0.352 1
As4 As 0.930 0.281 0.211 1
Pt1 Pt 0.250 0.750 0.500 1
Pt2 Pt 0.750 0.250 0.500 1
# - energy of formation (meV/atom) = -441
# - electronic total energy (eV for the cell shown) = -43.2

# 3
# CdCuPt2 PBE-GGA relaxed
data_CdCuPt2
_chemical_formula_sum 'Cd2 Cu2 Pt4'
_cell_length_a 2.922
_cell_length_b 4.640
_cell_length_c 9.392
_cell_angle_alpha 90.00
_cell_angle_beta 90.00
_cell_angle_gamma 90.00
_symmetry_space_group_name_H-M 'P 1'
_symmetry_Int_Tables_number 1
_symmetry_space_group_name_Hall 'P 1'
loop_
_atom_site_label
_atom_site_type_symbol
_atom_site_fract_x
_atom_site_fract_y
_atom_site_fract_z
_atom_site_occupancy
Cd1 Cd 0.000 0.000 0.000 1
Cd2 Cd 0.500 0.500 0.500 1
Cu1 Cu 0.000 0.500 0.748 1
Cu2 Cu 0.500 0.000 0.248 1
Pt1 Pt 0.000 0.000 0.478 1
Pt2 Pt 0.000 0.500 0.236 1
Pt3 Pt 0.500 0.000 0.736 1
Pt4 Pt 0.500 0.500 0.978 1
# - energy of formation (meV/atom) = -114
# - electronic total energy (eV for the cell shown) = -35.1

# 4
# PmTm2Te PBE-GGA relaxed
data_PmTm2Te
_chemical_formula_sum 'Pm4 Tm8 Te4'
_cell_length_a 3.948
_cell_length_b 12.121
_cell_length_c 9.809
_cell_angle_alpha 90.00
_cell_angle_beta 90.00
_cell_angle_gamma 90.00
_symmetry_space_group_name_H-M 'P 1'
_symmetry_Int_Tables_number 1
_symmetry_space_group_name_Hall 'P 1'
loop_
_atom_site_label
_atom_site_type_symbol
_atom_site_fract_x
_atom_site_fract_y
_atom_site_fract_z
_atom_site_occupancy
Pm1 Pm 0.000 0.054 0.250 1
Pm2 Pm 0.000 0.946 0.750 1
Pm3 Pm 0.500 0.446 0.750 1
Pm4 Pm 0.500 0.554 0.250 1
Tm1 Tm 0.000 0.364 0.034 1
Tm2 Tm 0.000 0.364 0.466 1
Tm3 Tm 0.000 0.636 0.534 1
Tm4 Tm 0.000 0.636 0.966 1
Tm5 Tm 0.500 0.136 0.534 1
Tm6 Tm 0.500 0.136 0.966 1
Tm7 Tm 0.500 0.864 0.034 1
Tm8 Tm 0.500 0.864 0.466 1
Te1 Te 0.000 0.232 0.750 1
Te2 Te 0.000 0.768 0.250 1
Te3 Te 0.500 0.268 0.250 1
Te4 Te 0.500 0.732 0.750 1
# - energy relative to the lowest polymorph listed for this composition (eV per formula unit) = 0.00
# - formation energy (no corrections) (meV per atom) = -639
# - electronic total energy (eV for the cell shown) = -77.6

# 5
# Pm6Te5O PBE-GGA relaxed
data_Pm6Te5O
_chemical_formula_sum 'Pm6 Te5 O1'
_cell_length_a 7.542
_cell_length_b 7.542
_cell_length_c 7.378
_cell_angle_alpha 99.56
_cell_angle_beta 99.56
_cell_angle_gamma 119.44
_symmetry_space_group_name_H-M 'P 1'
_symmetry_Int_Tables_number 1
_symmetry_space_group_name_Hall 'P 1'
loop_
_atom_site_label
_atom_site_type_symbol
_atom_site_fract_x
_atom_site_fract_y
_atom_site_fract_z
_atom_site_occupancy
Pm1 Pm 0.067 0.345 0.709 1
Pm2 Pm 0.205 0.205 0.258 1
Pm3 Pm 0.345 0.067 0.709 1
Pm4 Pm 0.655 0.933 0.291 1
Pm5 Pm 0.795 0.795 0.742 1
Pm6 Pm 0.933 0.655 0.291 1
Te1 Te 0.186 0.814 0.000 1
Te2 Te 0.338 0.662 0.500 1
Te3 Te 0.500 0.500 0.000 1
Te4 Te 0.662 0.338 0.500 1
Te5 Te 0.814 0.186 0.000 1
O1 O 0.000 0.000 0.500 1
# - formation energy (no corrections) (meV per atom) = -1533
# - electronic total energy (eV for the cell shown) = -67.6

# 6
# Mg2TcP PBE-GGA relaxed
data_Mg2TcP
_chemical_formula_sum 'Mg8 Tc4 P4'
_cell_length_a 6.257
_cell_length_b 6.257
_cell_length_c 6.257
_cell_angle_alpha 90.00
_cell_angle_beta 90.00
_cell_angle_gamma 90.00
_symmetry_space_group_name_H-M 'P 1'
_symmetry_Int_Tables_number 1
_symmetry_space_group_name_Hall 'P 1'
loop_
_atom_site_label
_atom_site_type_symbol
_atom_site_fract_x
_atom_site_fract_y
_atom_site_fract_z
_atom_site_occupancy
Mg1 Mg 0.000 0.000 0.000 1
Mg2 Mg 0.000 0.500 0.500 1
Mg3 Mg 0.250 0.250 0.250 1
Mg4 Mg 0.250 0.750 0.750 1
Mg5 Mg 0.500 0.000 0.500 1
Mg6 Mg 0.500 0.500 0.000 1
Mg7 Mg 0.750 0.250 0.750 1
Mg8 Mg 0.750 0.750 0.250 1
Tc1 Tc 0.000 0.000 0.500 1
Tc2 Tc 0.000 0.500 0.000 1
Tc3 Tc 0.500 0.000 0.000 1
Tc4 Tc 0.500 0.500 0.500 1
P1 P 0.250 0.250 0.750 1
P2 P 0.250 0.750 0.250 1
P3 P 0.750 0.250 0.250 1
P4 P 0.750 0.750 0.750 1
# - energy of formation (meV/atom) = 192
# - electronic total energy (eV for the cell shown) = -72.8

# 7
# LiThSc2Ga4 PBE-GGA relaxed
data_LiThSc2Ga4
_chemical_formula_sum 'Li1 Th1 Sc2 Ga4'
_cell_length_a 8.766
_cell_length_b 8.766
_cell_length_c 8.766
_cell_angle_alpha 31.53
_cell_angle_beta 31.53
_cell_angle_gamma 31.53
_symmetry_space_group_name_H-M 'P 1'
_symmetry_Int_Tables_number 1
_symmetry_space_group_name_Hall 'P 1'
loop_
_atom_site_label
_atom_site_type_symbol
_atom_site_fract_x
_atom_site_fract_y
_atom_site_fract_z
_atom_site_occupancy
Li1 Li 0.000 0.000 0.000 1
Th1 Th 0.500 0.500 0.500 1
Sc1 Sc 0.257 0.257 0.257 1
Sc2 Sc 0.743 0.743 0.743 1
Ga1 Ga 0.115 0.115 0.115 1
Ga2 Ga 0.370 0.370 0.370 1
Ga3 Ga 0.630 0.630 0.630 1
Ga4 Ga 0.885 0.885 0.885 1
# - energy of formation (meV/atom) = -453
# - electronic total energy (eV for the cell shown) = -37.7

# 8
# Pr2Al5Ni3 PBE-GGA relaxed
data_Pr2Al5Ni3
_chemical_formula_sum 'Pr4 Al10 Ni6'
_cell_length_a 12.765
_cell_length_b 12.765
_cell_length_c 6.668
_cell_angle_alpha 90.00
_cell_angle_beta 90.00
_cell_angle_gamma 160.93
_symmetry_space_group_name_H-M 'P 1'
_symmetry_Int_Tables_number 1
_symmetry_space_group_name_Hall 'P 1'
loop_
_atom_site_label
_atom_site_type_symbol
_atom_site_fract_x
_atom_site_fract_y
_atom_site_fract_z
_atom_site_occupancy
Pr1 Pr 0.022 0.978 0.500 1
Pr2 Pr 0.325 0.675 0.453 1
Pr3 Pr 0.675 0.325 0.953 1
Pr4 Pr 0.978 0.022 0.000 1
Al1 Al 0.100 0.900 0.134 1
Al2 Al 0.208 0.792 0.638 1
Al3 Al 0.213 0.787 0.246 1
Al4 Al 0.370 0.630 0.971 1
Al5 Al 0.442 0.558 0.333 1
Al6 Al 0.558 0.442 0.833 1
Al7 Al 0.630 0.370 0.471 1
Al8 Al 0.787 0.213 0.746 1
Al9 Al 0.792 0.208 0.138 1
Al10 Al 0.900 0.100 0.634 1
Ni1 Ni 0.110 0.890 0.751 1
Ni2 Ni 0.273 0.727 0.941 1
Ni3 Ni 0.447 0.553 0.711 1
Ni4 Ni 0.553 0.447 0.211 1
Ni5 Ni 0.727 0.273 0.441 1
Ni6 Ni 0.890 0.110 0.251 1
# - energy of formation (meV/atom) = -494
# - electronic total energy (eV for the cell shown) = -101.1